(1)
Compound: UCl4
Source: OQMD via LeMat-Bulk
Functional: PBE-GGA
Structure: relaxed

a = 7.404 Å, b = 7.404 Å, c = 7.404 Å
α = 112.84°, β = 108.79°, γ = 106.84°
Positions (direct):
Cl 0.200 0.200 0.000
Cl 0.800 0.800 0.000
Cl 0.291 0.753 0.043
Cl 0.709 0.753 0.462
Cl 0.801 0.301 0.500
Cl 0.199 0.699 0.500
Cl 0.291 0.247 0.538
Cl 0.709 0.247 0.957
U 0.000 0.249 0.249
U 0.000 0.751 0.751

Values from the calculation:
final energy	-5.411	eV per atom
total magnetic moment	0.400	μB/atom

=====

(2)
Compound: RbNdCuTe3
Source: OQMD via LeMat-Bulk
Functional: PBE-GGA
Structure: relaxed

a = 8.481 Å, b = 8.481 Å, c = 11.758 Å
α = 90.00°, β = 90.00°, γ = 150.27°
Positions (direct):
Cu 0.466 0.534 0.250
Cu 0.534 0.466 0.750
Nd 0.000 0.000 0.000
Nd 0.000 0.000 0.500
Rb 0.745 0.255 0.250
Rb 0.255 0.745 0.750
Te 0.369 0.631 0.068
Te 0.064 0.936 0.250
Te 0.369 0.631 0.432
Te 0.631 0.369 0.568
Te 0.936 0.064 0.750
Te 0.631 0.369 0.932

Values from the calculation:
final energy	-4.056	eV per atom
total magnetic moment	0.002	μB/atom

=====

(3)
Compound: TmNb
Source: OQMD via LeMat-Bulk
Functional: PBE-GGA
Structure: relaxed

a = 4.769 Å, b = 4.769 Å, c = 4.769 Å
α = 60.00°, β = 60.00°, γ = 60.00°
Positions (direct):
Nb 0.000 0.000 0.000
Tm 0.250 0.250 0.250

Values from the calculation:
final energy	-4.762	eV per atom
E above lowest polymorph	2136	meV/atom
calculated formation energy	2.5227	eV/atom
total magnetic moment	2.025	μB/atom

=====

(4)
Compound: YCoPtPb
Source: OQMD via LeMat-Bulk
Functional: PBE-GGA
Structure: relaxed

a = 4.817 Å, b = 4.817 Å, c = 4.817 Å
α = 60.00°, β = 60.00°, γ = 60.00°
Positions (direct):
Co 0.750 0.750 0.750
Pb 0.000 0.000 0.000
Pt 0.500 0.500 0.500
Y 0.250 0.250 0.250

Values from the calculation:
final energy	-5.907	eV per atom
E above lowest polymorph	208	meV/atom
total magnetic moment	0.004	μB/atom